1.
Crystalline SnHgOs at its relaxed geometry, computed with GGA-PBE.

CIF file:
```
data_SnHgOs
_cell_length_a 4.5257
_cell_length_b 4.5257
_cell_length_c 4.5257
_cell_angle_alpha 60.00
_cell_angle_beta 60.00
_cell_angle_gamma 60.00
_symmetry_space_group_name_H-M 'P 1'
_symmetry_Int_Tables_number 1
loop_
_symmetry_equiv_pos_as_xyz
'x,y,z'
loop_
_atom_site_label
_atom_site_fract_x
_atom_site_fract_y
_atom_site_fract_z
Os1 0.0000 0.0000 0.0000
Sn1 0.7500 0.7500 0.7500
Hg1 0.2500 0.2500 0.2500
```

Summary:
E above lowest polymorph = 0.00 eV/f.u.
SG = No. 216



2.
Crystalline LiTaCuGe at its relaxed geometry, computed with GGA-PBE.

CIF file:
```
data_LiTaCuGe
_cell_length_a 4.3336
_cell_length_b 4.3336
_cell_length_c 4.3336
_cell_angle_alpha 60.00
_cell_angle_beta 60.00
_cell_angle_gamma 60.00
_symmetry_space_group_name_H-M 'P 1'
_symmetry_Int_Tables_number 1
loop_
_symmetry_equiv_pos_as_xyz
'x,y,z'
loop_
_atom_site_label
_atom_site_fract_x
_atom_site_fract_y
_atom_site_fract_z
Li1 0.5000 0.5000 0.5000
Ge1 0.0000 0.0000 0.0000
Ta1 0.2500 0.2500 0.2500
Cu1 0.7500 0.7500 0.7500
```

Summary:
E above lowest polymorph = 0.00 eV/f.u.
SG = No. 216